# 1
A plane-wave DFT calculation with PBE-GGA was carried out for a geometry-optimized SiHg2RhI structure.

Computed properties:
electronic total energy: -10.628 eV/cell
crystal system: tetragonal

```
data_SiHg2RhI
_chemical_formula_sum 'Si1 Hg2 Rh1 I1'
_cell_length_a 4.976
_cell_length_b 4.976
_cell_length_c 5.712
_cell_angle_alpha 90.00
_cell_angle_beta 90.00
_cell_angle_gamma 90.00
_symmetry_space_group_name_H-M 'P 4/m m m'
_symmetry_Int_Tables_number 123
_symmetry_space_group_name_Hall '-P 4 2'
loop_
_atom_site_label
_atom_site_type_symbol
_atom_site_fract_x
_atom_site_fract_y
_atom_site_fract_z
Si1 Si 0.000 0.000 0.000
Hg1 Hg 0.000 0.500 0.000
Rh1 Rh 0.500 0.500 0.500
I1 I 0.000 0.000 0.500
```

# 2
A plane-wave DFT calculation with PBE-GGA was carried out for a geometry-optimized Rb5PaTe5 structure.

Computed properties:
electronic total energy: -81.575 eV/cell
crystal system: monoclinic

```
data_Rb5PaTe5
_chemical_formula_sum 'Rb10 Pa2 Te10'
_cell_length_a 16.844
_cell_length_b 6.743
_cell_length_c 9.932
_cell_angle_alpha 90.00
_cell_angle_beta 109.19
_cell_angle_gamma 90.00
_symmetry_space_group_name_H-M 'C 1 2/m 1'
_symmetry_Int_Tables_number 12
loop_
_symmetry_equiv_pos_as_xyz
'x,y,z'
'-x,-y,-z'
'-x,y,-z'
'x,-y,z'
'x+1/2,y+1/2,z'
'-x+1/2,-y+1/2,-z'
'-x+1/2,y+1/2,-z'
'x+1/2,-y+1/2,z'
loop_
_atom_site_label
_atom_site_type_symbol
_atom_site_fract_x
_atom_site_fract_y
_atom_site_fract_z
Rb1 Rb 0.000 0.000 0.000
Rb2 Rb 0.177 0.500 0.349
Rb3 Rb 0.199 0.500 0.812
Pa1 Pa 0.000 0.000 0.500
Te1 Te 0.000 0.500 0.500
Te2 Te 0.130 0.000 0.355
Te3 Te 0.137 0.000 0.787
```

# 3
A plane-wave DFT calculation with PBE-GGA was carried out for a geometry-optimized Sn2BiAs structure.

Computed properties:
energy relative to the elements: 0.038 eV/atom
electronic total energy: -49.153 eV/cell
crystal system: trigonal

```
data_Sn2BiAs
_chemical_formula_sum 'Sn6 Bi3 As3'
_cell_length_a 4.1140
_cell_length_b 4.1140
_cell_length_c 23.2349
_cell_angle_alpha 90.00
_cell_angle_beta 90.00
_cell_angle_gamma 120.00
_symmetry_space_group_name_H-M 'R 3 m'
_symmetry_Int_Tables_number 160
_symmetry_space_group_name_Hall 'R 3 -2"'
loop_
_atom_site_label
_atom_site_type_symbol
_atom_site_fract_x
_atom_site_fract_y
_atom_site_fract_z
Sn1 Sn 0.0000 0.0000 0.0000
Sn2 Sn 0.0000 0.0000 0.1887
Bi1 Bi 0.0000 0.0000 0.7632
As1 As 0.0000 0.0000 0.5942
```

# 4
A plane-wave DFT calculation with PBE-GGA was carried out for a geometry-optimized Ac2UCu3Pt12 structure.

Computed properties:
energy relative to the elements: -0.195 eV/atom
electronic total energy: -323.361 eV/cell
crystal system: trigonal

```
data_Ac2UCu3Pt12
_chemical_formula_sum 'Ac6 U3 Cu9 Pt36'
_cell_length_a 7.9886
_cell_length_b 7.9886
_cell_length_c 21.0790
_cell_angle_alpha 90.00
_cell_angle_beta 90.00
_cell_angle_gamma 120.00
_symmetry_space_group_name_H-M 'R -3 m'
_symmetry_Int_Tables_number 166
_symmetry_space_group_name_Hall '-R 3 2"'
loop_
_atom_site_label
_atom_site_type_symbol
_atom_site_fract_x
_atom_site_fract_y
_atom_site_fract_z
Ac1 Ac 0.0000 0.0000 0.1181
U1 U 0.0000 0.0000 0.5000
Cu1 Cu 0.0000 0.5000 0.0000
Pt1 Pt 0.0043 0.5022 0.6288
Pt2 Pt 0.0111 0.5056 0.8816
```

# 5
A plane-wave DFT calculation with PBE-GGA was carried out for a geometry-optimized Dy6AgRu structure.

Computed properties:
energy relative to the elements: -0.136 eV/atom
electronic total energy: -81.655 eV/cell
crystal system: tetragonal

```
data_Dy6AgRu
_chemical_formula_sum 'Dy12 Ag2 Ru2'
_cell_length_a 5.019
_cell_length_b 5.019
_cell_length_c 17.126
_cell_angle_alpha 90.00
_cell_angle_beta 90.00
_cell_angle_gamma 90.00
_symmetry_space_group_name_H-M 'I 4/m m m'
_symmetry_Int_Tables_number 139
_symmetry_space_group_name_Hall '-I 4 2'
loop_
_atom_site_label
_atom_site_type_symbol
_atom_site_fract_x
_atom_site_fract_y
_atom_site_fract_z
Dy1 Dy 0.000 0.000 0.247
Dy2 Dy 0.000 0.500 0.099
Ag1 Ag 0.000 0.000 0.500
Ru1 Ru 0.000 0.000 0.000
```

# 6
A plane-wave DFT calculation with PBE-GGA was carried out for a geometry-optimized DyLuFeNi structure.

Computed properties:
energy relative to the elements: -0.134 eV/atom
electronic total energy: -95.615 eV/cell
crystal system: cubic

```
data_DyLuFeNi
_chemical_formula_sum 'Dy4 Lu4 Fe4 Ni4'
_cell_length_a 6.612
_cell_length_b 6.612
_cell_length_c 6.612
_cell_angle_alpha 90.00
_cell_angle_beta 90.00
_cell_angle_gamma 90.00
_symmetry_space_group_name_H-M 'F -4 3 m'
_symmetry_Int_Tables_number 216
_symmetry_space_group_name_Hall 'F -4 2 3'
loop_
_atom_site_label
_atom_site_type_symbol
_atom_site_fract_x
_atom_site_fract_y
_atom_site_fract_z
Dy1 Dy 0.000 0.000 0.000
Lu1 Lu 0.000 0.000 0.500
Fe1 Fe 0.250 0.250 0.750
Ni1 Ni 0.250 0.250 0.250
```

Number 1: total moment 1.3 μB/f.u.. Number 2: total moment 0.0 μB/f.u.. Number 3: total moment 0.0 μB/f.u.. Number 4: total moment 0.0 μB/f.u.. Number 5: total moment 0.0 μB/f.u.. Number 6: total moment 0.0 μB/f.u..